Here is TlHg2Pd4 after structural relaxation from the Alexandria database. Energies are from PBE-GGA.

abc: 7.974 8.015 4.264
angles: 90.00 90.00 90.00
Fractional coordinates of all 14 atoms:
Tl: 0.000 0.000 0.000
Tl: 0.500 0.500 0.000
Hg: 0.000 0.303 0.500
Hg: 0.000 0.697 0.500
Hg: 0.500 0.197 0.500
Hg: 0.500 0.803 0.500
Pd: 0.217 0.000 0.500
Pd: 0.250 0.250 0.000
Pd: 0.250 0.750 0.000
Pd: 0.283 0.500 0.500
Pd: 0.717 0.500 0.500
Pd: 0.750 0.250 0.000
Pd: 0.750 0.750 0.000
Pd: 0.783 0.000 0.500

Calculated values
The magnetization is 0.00 μB/f.u. The calculation puts the calculated formation energy at -8.8 kJ per mole of atoms. The space-group type is No. 65. The density of states at the Fermi level comes out at 0.3225 states/eV/atom.

***

Here is Tl2Hg2Pd after structural relaxation from the Alexandria database. Energies are from PBE-GGA.

abc: 7.222 7.222 5.121
angles: 90.00 90.00 90.00
Fractional coordinates of all 10 atoms:
Tl: 0.178 0.322 0.000
Tl: 0.322 0.822 0.000
Tl: 0.678 0.178 0.000
Tl: 0.822 0.678 0.000
Hg: 0.147 0.647 0.500
Hg: 0.353 0.147 0.500
Hg: 0.647 0.853 0.500
Hg: 0.853 0.353 0.500
Pd: 0.000 0.000 0.500
Pd: 0.500 0.500 0.500

Calculated values
The magnetization is 0.00 μB/f.u. The calculation puts the calculated formation energy at 5.5 kJ per mole of atoms. The space-group type is No. 127. The density of states at the Fermi level comes out at 0.3703 states/eV/atom.

***

Here is TlHg2Pd after structural relaxation from the Alexandria database. Energies are from PBE-GGA.

abc: 3.194 3.194 8.958
angles: 90.00 90.00 90.00
Fractional coordinates of all 4 atoms:
Tl: 0.000 0.000 0.000
Hg: 0.500 0.500 0.295
Hg: 0.500 0.500 0.705
Pd: 0.000 0.000 0.500

Calculated values
The magnetization is 0.00 μB/f.u. The calculation puts the calculated formation energy at -2.5 kJ per mole of atoms. The space-group type is No. 123. The density of states at the Fermi level comes out at 0.2861 states/eV/atom.

***

Here is Tl8Hg2Pd after structural relaxation from the Alexandria database. Energies are from PBE-GGA.

abc: 9.122 9.122 7.118
angles: 107.17 107.17 34.06
Fractional coordinates of all 11 atoms:
Tl: 0.016 0.016 0.290
Tl: 0.199 0.199 0.773
Tl: 0.344 0.344 0.544
Tl: 0.412 0.412 0.078
Tl: 0.588 0.588 0.922
Tl: 0.656 0.656 0.456
Tl: 0.801 0.801 0.227
Tl: 0.984 0.984 0.710
Hg: 0.178 0.178 0.192
Hg: 0.822 0.822 0.808
Pd: 0.500 0.500 0.500

Calculated values
The magnetization is 0.00 μB/f.u. The calculation puts the calculated formation energy at -0.5 kJ per mole of atoms. The space-group type is No. 12. The density of states at the Fermi level comes out at 0.5233 states/eV/atom.

***

Here is TlHg3Pd3 after structural relaxation from the Alexandria database. Energies are from PBE-GGA.

abc: 7.522 7.522 7.522
angles: 90.00 90.00 90.00
Fractional coordinates of all 14 atoms:
Tl: 0.000 0.000 0.000
Tl: 0.500 0.500 0.500
Hg: 0.000 0.250 0.500
Hg: 0.000 0.750 0.500
Hg: 0.250 0.500 0.000
Hg: 0.500 0.000 0.250
Hg: 0.500 0.000 0.750
Hg: 0.750 0.500 0.000
Pd: 0.000 0.500 0.250
Pd: 0.000 0.500 0.750
Pd: 0.250 0.000 0.500
Pd: 0.500 0.250 0.000
Pd: 0.500 0.750 0.000
Pd: 0.750 0.000 0.500

Calculated values
The magnetization is 0.00 μB/f.u. The calculation puts the calculated formation energy at 31.4 kJ per mole of atoms. The space-group type is No. 223. The density of states at the Fermi level comes out at 0.2913 states/eV/atom.

***

Here is TlHg2Pd after structural relaxation from the Alexandria database. Energies are from PBE-GGA.

abc: 4.736 4.736 15.629
angles: 90.00 90.00 120.00
Fractional coordinates of all 12 atoms:
Tl: 0.000 0.000 0.000
Tl: 0.333 0.667 0.667
Tl: 0.667 0.333 0.333
Hg: 0.000 0.000 0.564
Hg: 0.000 0.000 0.784
Hg: 0.333 0.667 0.230
Hg: 0.333 0.667 0.451
Hg: 0.667 0.333 0.118
Hg: 0.667 0.333 0.897
Pd: 0.000 0.000 0.183
Pd: 0.333 0.667 0.849
Pd: 0.667 0.333 0.516

Calculated values
The magnetization is 0.00 μB/f.u. The calculation puts the calculated formation energy at 0.9 kJ per mole of atoms. The space-group type is No. 160. The density of states at the Fermi level comes out at 0.4141 states/eV/atom.

***

| no. | ρ (g cm⁻³) |
| --- | --- |
| 1 | 12.6 |
| 2 | 11.4 |
| 3 | 12.9 |
| 4 | 11.3 |
| 5 | 8.8 |
| 6 | 11.7 |